No. 1
Compound: Sn2OsRuSe
Source: Alexandria via LeMat-Bulk
Functional: GGA-PBE
Structure: optimized geometry

Cell: 5.1406 5.1406 4.8198 Å, 90.00 90.00 90.00°
Last column: nearest neighbours and their distance in Å.
Fractional positions:
1 Sn 0.0000 0.5000 0.0000  2 Ru 2.57
2 Sn 0.5000 0.0000 0.0000  2 Ru 2.57
3 Os 0.0000 0.0000 0.5000  2 Ru 2.41
4 Ru 0.0000 0.0000 0.0000  2 Os 2.41, 4 Sn 2.57
5 Se 0.5000 0.5000 0.5000  8 Sn 3.52, 4 Os 3.63

Results
**Formation energy without anion corrections**: 895 meV/atom

=====

No. 2
Compound: Th6OsRu2Se3
Source: Alexandria via LeMat-Bulk
Functional: GGA-PBE
Structure: optimized geometry

Cell: 9.6885 9.6885 8.7600 Å, 108.07 108.07 24.45°
Last column: nearest neighbours and their distance in Å.
Fractional positions:
1 Th 0.0079 0.0079 0.2291  2 Os 2.84, 1 Ru 2.86, 3 Se 3.18
2 Th 0.3251 0.3251 0.4376  3 Ru 2.83-2.84
3 Th 0.3412 0.3412 0.8957  2 Ru 2.84, 1 Os 2.85, 3 Se 3.17-3.18
4 Th 0.6588 0.6588 0.1043  2 Ru 2.84, 1 Os 2.85, 3 Se 3.17-3.18
5 Th 0.6749 0.6749 0.5624  3 Ru 2.83-2.84
6 Th 0.9921 0.9921 0.7709  2 Os 2.84, 1 Ru 2.86, 3 Se 3.18
7 Os 0.5000 0.5000 0.0000  6 Th 2.84-2.85
8 Ru 0.1673 0.1673 0.3342  6 Th 2.83-2.86
9 Ru 0.8327 0.8327 0.6658  6 Th 2.83-2.86
10 Se 0.1668 0.1668 0.8332  6 Th 3.17-3.18
11 Se 0.5000 0.5000 0.5000  6 Th 3.18
12 Se 0.8332 0.8332 0.1668  6 Th 3.17-3.18

Results
**Formation energy without anion corrections**: -1052 meV/atom

=====

No. 3
Compound: Th6Os2RuSe3
Source: Alexandria via LeMat-Bulk
Functional: GGA-PBE
Structure: optimized geometry

Cell: 9.6915 9.6915 8.7576 Å, 107.82 107.82 24.51°
Last column: nearest neighbours and their distance in Å.
Fractional positions:
1 Th 0.0081 0.0081 0.2289  2 Ru 2.84, 1 Os 2.84, 3 Se 3.18
2 Th 0.3255 0.3255 0.4380  3 Os 2.85-2.87, 3 Se 3.18
3 Th 0.3415 0.3415 0.8959  2 Os 2.84, 1 Ru 2.85, 2 Se 3.18
4 Th 0.6585 0.6585 0.1041  2 Os 2.84, 1 Ru 2.85, 2 Se 3.18
5 Th 0.6745 0.6745 0.5620  3 Os 2.85-2.87, 3 Se 3.18
6 Th 0.9919 0.9919 0.7711  2 Ru 2.84, 1 Os 2.84, 3 Se 3.18
7 Os 0.1662 0.1662 0.3324  6 Th 2.84-2.87
8 Os 0.8338 0.8338 0.6676  6 Th 2.84-2.87
9 Ru 0.5000 0.5000 0.0000  6 Th 2.84-2.85
10 Se 0.1665 0.1665 0.8332  6 Th 3.18-3.19
11 Se 0.5000 0.5000 0.5000  6 Th 3.18
12 Se 0.8335 0.8335 0.1668  6 Th 3.18-3.19

Results
**Formation energy without anion corrections**: -1033 meV/atom